Below is a relaxed Dy9Ho2Tm3 crystal, with properties calculated at the GGA-PBE level.

Calculated values
* E_tot: -62.627 eV per formula unit
* energy relative to the elements: 0.097 eV/atom

Cell: 16.6379 5.4599 9.8028 Å, 90.00 101.88 90.00°
With the nearest neighbours (Å) after each atom.
Space group Cm (No. 8)
Unique sites:
Dy 0.0000 0.0000 0.0000 [2 per cell]  6 Dy 3.34-3.59, 3 Tm 3.56, 1 Ho 3.68
Dy 0.0132 0.5000 0.5697 [2 per cell]  1 Tm 3.15, 4 Dy 3.30-3.52
Dy 0.0994 0.5000 0.9296 [2 per cell]  5 Dy 3.23-3.52, 1 Tm 3.48, 2 Ho 3.49
Dy 0.1896 0.5000 0.2570 [2 per cell]  2 Tm 3.00-3.13, 1 Dy 3.25
Dy 0.2465 0.0000 0.0841 [2 per cell]  1 Ho 3.44, 8 Dy 3.45-3.77, 3 Tm 3.69-3.79
Dy 0.2884 0.5000 0.8949 [2 per cell]  4 Dy 3.23-3.46, 4 Tm 3.24-3.57
Dy 0.3049 0.0000 0.4491 [2 per cell]  6 Dy 3.42-3.63, 5 Tm 3.54-3.65, 1 Ho 3.57
Dy 0.4154 0.5000 0.6319 [2 per cell]  6 Dy 3.30-3.65, 4 Tm 3.41-3.58
Dy 0.4738 0.0000 0.1955 [2 per cell]  3 Tm 3.28-3.63, 5 Dy 3.41-3.66, 2 Ho 3.57
Ho 0.0858 0.0000 0.3768 [2 per cell]  3 Tm 3.41-3.63, 1 Ho 3.49, 8 Dy 3.56-3.68
Ho 0.1469 0.0000 0.7397 [2 per cell]  2 Tm 3.44, 8 Dy 3.44-3.78, 1 Ho 3.49
Tm 0.2022 0.5000 0.5672 [2 per cell]  3 Dy 3.00-3.24
Tm 0.3782 0.5000 0.2590 [2 per cell]  3 Dy 3.13-3.28, 1 Ho 3.41
Tm 0.3865 0.0000 0.8238 [2 per cell]  10 Dy 3.33-3.64


Below is a relaxed AlTlTe2 crystal, with properties calculated at the GGA-PBE level.

Calculated values
* E_tot: -12.688 eV per formula unit
* energy relative to the elements, uncorrected: -74 meV per atom

Cell: 3.1942 25.0333 5.9839 Å, 90.00 90.00 90.00°
With the nearest neighbours (Å) after each atom.
Space group Cmcm (No. 63)
Unique sites:
Al 0.0000 0.0560 0.2500 [4 per cell]  4 Te 2.79-2.99
Tl 0.0000 0.3075 0.2500 [4 per cell]  2 Tl 3.19, 5 Te 3.45-3.51
Te 0.0000 0.0559 0.7500 [4 per cell]  3 Al 2.80-2.99
Te 0.0000 0.1674 0.2500 [4 per cell]  1 Al 2.79